Here is TlIrCl2 after structural relaxation from Alexandria via LeMat-Bulk. Energies are from PBE.

Cell: 8.6731 8.6731 8.6731 Å, 24.74 24.74 24.74°
With the nearest neighbours (Å) after each atom.
Element x y z (fractional)
Tl 0.0000 0.0000 0.0000  6 Cl 3.65, 6 Tl 3.72
Ir 0.5000 0.5000 0.5000  6 Cl 2.48
Cl 0.2164 0.2164 0.2164  3 Ir 2.48
Cl 0.7836 0.7836 0.7836  3 Ir 2.48

density = 7.727 Mg/m³
SG = R-3m (166)
distance to the lowest polymorph of the same formula = 9.02 kcal/mol of atoms
uncorrected formation energy = 182 meV/atom
E_tot = -3.548 eV per atom
Fermi-level density of states = 3.0 states/eV/f.u.